Dy3ErTm2Se6 | Alexandria via LeMat-Bulk | PBE | relaxed; V = 23.454 Å³ per atom; raw formation energy = -1710 meV/atom; total DFT energy (no corrections) = -68.737 eV/cell; calculated density = 8.652 g/cm3; DOS(E_F) = 5.47 states/eV per cell; total magnetization = 0.000 μB per cell
1.0
-3.422 -1.381 1.626
2.812 -7.618 -0.550
4.416 3.373 7.155
Se Dy Er Tm
6 3 1 2
direct
0.332 0.420 0.664
0.668 0.580 0.336
0.666 0.087 0.332
0.999 0.752 0.997
0.001 0.248 0.003
0.334 0.913 0.668
0.166 0.833 0.332
0.500 0.500 0.000
0.834 0.167 0.668
0.500 0.000 0.000
0.166 0.333 0.332
0.834 0.667 0.668